1) Nd6SmTm4: optimized geometry, GGA-PBE.

Cell: 5.838 5.668 25.949 Å, 90.00 90.00 121.00°
Fractional positions:
Nd  0.500  0.000  0.000
Nd  0.500  0.000  0.500
Nd  0.129  0.259  0.319
Nd  0.871  0.741  0.681
Nd  0.871  0.741  0.819
Nd  0.129  0.259  0.181
Nd  0.805  0.610  0.401
Nd  0.195  0.390  0.599
Nd  0.195  0.390  0.901
Nd  0.805  0.610  0.099
Nd  0.457  0.914  0.250
Nd  0.543  0.086  0.750
Sm  0.795  0.589  0.250
Sm  0.205  0.411  0.750
Tm  0.847  0.694  0.544
Tm  0.464  0.928  0.124
Tm  0.153  0.306  0.456
Tm  0.536  0.072  0.876
Tm  0.847  0.694  0.956
Tm  0.153  0.306  0.044
Tm  0.536  0.072  0.624
Tm  0.464  0.928  0.376

## Properties
For the total moment, the calculation gives 0.0 μB/cell. The crystal system is orthorhombic. As for the symmetry: No. 63. The theoretical density comes out at 7.6 g cm⁻³.

***

2) Nd6SmTm4: optimized geometry, GGA-PBE.

Cell: 6.713 6.713 9.710 Å, 110.22 110.22 90.00°
Fractional positions:
Nd  0.868  0.487  0.355
Nd  0.487  0.868  0.355
Nd  0.513  0.513  0.645
Nd  0.000  0.500  0.000
Nd  0.132  0.132  0.645
Nd  0.500  0.000  0.000
Sm  0.500  0.500  0.000
Tm  0.056  0.699  0.755
Tm  0.944  0.944  0.245
Tm  0.699  0.056  0.755
Tm  0.301  0.301  0.245

## Properties
For the total moment, the calculation gives 0.0 μB/cell. The crystal system is tetragonal. As for the symmetry: No. 121. The theoretical density comes out at 7.4 g cm⁻³.

***

Ranking the structures above by stability puts 1) first and 2) last.